A plane-wave DFT calculation with PBE-GGA was carried out for a geometry-optimized RbHgPb3 structure.

Unit cell a=6.918 b=7.281 c=7.156 alpha=90.00 beta=90.00 gamma=90.00
Fractional coordinates of all 10 atoms:
Rb  0.000  0.232  0.000
Rb  0.500  0.768  0.500
Hg  0.000  0.918  0.634
Hg  0.500  0.082  0.134
Pb  0.000  0.611  0.348
Pb  0.246  0.742  0.984
Pb  0.254  0.258  0.484
Pb  0.500  0.389  0.848
Pb  0.746  0.258  0.484
Pb  0.754  0.742  0.984

Summary:
Mass density ... 8.36 g/cm³
E_form ... -0.0480 eV per atom
SG ... Pmn2_1, No. 31
E ... -2.53 eV per atom

A plane-wave DFT calculation with PBE-GGA was carried out for a geometry-optimized RbHg2Pb2 structure.

Unit cell a=9.434 b=9.434 c=3.637 alpha=90.00 beta=90.00 gamma=90.00
Fractional coordinates of all 10 atoms:
Rb  0.000  0.000  0.000
Rb  0.500  0.500  0.000
Hg  0.154  0.346  0.000
Hg  0.346  0.846  0.000
Hg  0.654  0.154  0.000
Hg  0.846  0.654  0.000
Pb  0.137  0.637  0.500
Pb  0.363  0.137  0.500
Pb  0.637  0.863  0.500
Pb  0.863  0.363  0.500

Summary:
Mass density ... 9.24 g/cm³
E_form ... -0.0560 eV per atom
SG ... P4/mbm, No. 127
E ... -1.85 eV per atom

A plane-wave DFT calculation with PBE-GGA was carried out for a geometry-optimized Rb2HgPb structure.

Unit cell a=6.358 b=6.358 c=6.358 alpha=60.00 beta=60.00 gamma=60.00
Fractional coordinates of all 4 atoms:
Rb  0.250  0.250  0.250
Rb  0.750  0.750  0.750
Hg  0.000  0.000  0.000
Pb  0.500  0.500  0.500

Summary:
Mass density ... 5.29 g/cm³
E_form ... -0.0167 eV per atom
SG ... Fm-3m, No. 225
E ... -1.50 eV per atom